[1]
A geometry-optimized Sr4CaSi structure, computed with PBE.

Cell: 10.2721 10.2721 10.2721 Å, 90.00 90.00 90.00°
Closest atoms and distances in Å follow each position.
Space group F-43m (No. 216)
One atom of each set of equivalent atoms:
Sr: 0.1242 0.1242 0.3758 [16 per cell]  6 Sr 3.61-3.65
Ca: 0.0000 0.0000 0.0000 [4 per cell]  12 Sr 4.26, 4 Si 4.45
Si: 0.2500 0.2500 0.7500 [4 per cell]  12 Sr 4.26, 4 Ca 4.45

Summary:
For the energy relative to the elements, uncorrected, the calculation gives 0.53 eV per atom. As for the density of states at the Fermi level: 1.36 states/eV/atom.

[2]
A geometry-optimized SrCaSi3 structure, computed with PBE.

Cell: 5.2810 5.2810 5.2810 Å, 90.00 90.00 90.00°
Closest atoms and distances in Å follow each position.
Space group Pm-3m (No. 221)
One atom of each set of equivalent atoms:
Sr: 0.0000 0.0000 0.0000 [1 per cell]  12 Si 3.73
Ca: 0.5000 0.5000 0.5000 [1 per cell]  6 Si 2.64
Si: 0.0000 0.5000 0.5000 [3 per cell]  2 Ca 2.64

Summary:
For the energy relative to the elements, uncorrected, the calculation gives 0.69 eV per atom. The calculation puts the relative energy among the computed polymorphs at 1.113 eV per atom. As for the density of states at the Fermi level: 1.09 states/eV/atom.

[3]
A geometry-optimized Sr2CaSi structure, computed with PBE.

Cell: 3.7477 5.5241 14.6915 Å, 90.00 90.00 90.00°
Closest atoms and distances in Å follow each position.
Space group Imm2 (No. 44)
One atom of each set of equivalent atoms:
Sr: 0.0000 0.0000 0.0000 [2 per cell]  4 Si 3.34, 2 Ca 3.66
Sr: 0.0000 0.5000 0.1755 [2 per cell]  2 Si 3.20
Ca: 0.0000 0.5000 0.8364 [2 per cell]  2 Si 3.03
Si: 0.0000 0.0000 0.4987 [2 per cell]  2 Ca 3.03, 6 Sr 3.20-3.34

Summary:
For the energy relative to the elements, uncorrected, the calculation gives -0.14 eV per atom. As for the density of states at the Fermi level: 0.90 states/eV/atom.

[4]
A geometry-optimized SrCaSi3 structure, computed with PBE.

Cell: 5.4181 5.4181 5.4181 Å, 90.00 90.00 90.00°
Closest atoms and distances in Å follow each position.
Space group Pm-3m (No. 221)
One atom of each set of equivalent atoms:
Sr: 0.0000 0.0000 0.0000 [1 per cell]  6 Si 2.71
Ca: 0.5000 0.5000 0.5000 [1 per cell]  12 Si 3.83
Si: 0.0000 0.0000 0.5000 [3 per cell]  2 Sr 2.71

Summary:
For the energy relative to the elements, uncorrected, the calculation gives 1.05 eV per atom. The calculation puts the relative energy among the computed polymorphs at 1.479 eV per atom. As for the density of states at the Fermi level: 0.60 states/eV/atom.

[5]
A geometry-optimized SrCa2Si structure, computed with PBE.

Cell: 3.6306 5.0115 15.7925 Å, 90.00 90.00 90.00°
Closest atoms and distances in Å follow each position.
Space group Imm2 (No. 44)
One atom of each set of equivalent atoms:
Sr: 0.0000 0.0000 0.0000 [2 per cell]  2 Si 3.23
Ca: 0.0000 0.0000 0.6738 [2 per cell]  2 Si 3.07
Ca: 0.0000 0.5000 0.8298 [2 per cell]  4 Si 3.09
Si: 0.0000 0.5000 0.3306 [2 per cell]  6 Ca 3.07-3.09, 2 Sr 3.23

Summary:
For the energy relative to the elements, uncorrected, the calculation gives -0.15 eV per atom. As for the density of states at the Fermi level: 0.73 states/eV/atom.

[6]
A geometry-optimized SrCaSi structure, computed with PBE.

Cell: 3.7630 3.7630 13.7395 Å, 90.00 90.00 90.00°
Closest atoms and distances in Å follow each position.
Space group I4mm (No. 107)
One atom of each set of equivalent atoms:
Sr: 0.0000 0.0000 0.0000 [2 per cell]  4 Si 3.25, 1 Ca 3.44
Ca: 0.0000 0.0000 0.2501 [2 per cell]  4 Si 3.09, 1 Sr 3.44
Si: 0.0000 0.0000 0.6361 [2 per cell]  4 Ca 3.09, 4 Sr 3.25

Summary:
For the energy relative to the elements, uncorrected, the calculation gives -0.18 eV per atom. As for the density of states at the Fermi level: 0.98 states/eV/atom.

[7]
A geometry-optimized SrCaSi structure, computed with PBE.

Cell: 3.7384 6.9389 7.7369 Å, 76.73 76.03 89.98°
Closest atoms and distances in Å follow each position.
Space group P-1 (No. 2)
One atom of each set of equivalent atoms:
Sr: 0.1188 0.0606 0.2613 [2 per cell]  4 Si 3.38-3.39, 2 Ca 3.48-3.49, 3 Sr 3.48-3.74
Ca: 0.1409 0.5725 0.2182 [2 per cell]  4 Si 3.05
Si: 0.5000 0.3191 0.5002 [2 per cell]  1 Si 2.51

Summary:
For the energy relative to the elements, uncorrected, the calculation gives -0.24 eV per atom. As for the density of states at the Fermi level: 0.39 states/eV/atom.

[8]
A geometry-optimized SrCaSi2Te structure, computed with PBE.

Cell: 5.4621 5.4621 6.4888 Å, 90.00 90.00 90.00°
Closest atoms and distances in Å follow each position.
Space group P4/mmm (No. 123)
One atom of each set of equivalent atoms:
Sr: 0.0000 0.0000 0.0000 [1 per cell]  4 Si 2.73
Ca: 0.0000 0.0000 0.5000 [1 per cell]  2 Sr 3.24
Si: 0.0000 0.5000 0.0000 [2 per cell]  2 Sr 2.73
Te: 0.5000 0.5000 0.5000 [1 per cell]  4 Ca 3.86, 8 Si 4.24

Summary:
For the energy relative to the elements, uncorrected, the calculation gives 1.10 eV per atom. As for the density of states at the Fermi level: 1.34 states/eV/atom.

[9]
A geometry-optimized SrCaTlSi structure, computed with PBE.

Cell: 7.6997 7.6997 7.6997 Å, 90.00 90.00 90.00°
Closest atoms and distances in Å follow each position.
Space group F-43m (No. 216)
One atom of each set of equivalent atoms:
Sr: 0.0000 0.0000 0.0000 [4 per cell]  4 Tl 3.33, 4 Si 3.33
Ca: 0.0000 0.0000 0.5000 [4 per cell]  4 Si 3.33, 4 Tl 3.33
Tl: 0.2500 0.2500 0.7500 [4 per cell]  4 Ca 3.33, 4 Sr 3.33
Si: 0.2500 0.2500 0.2500 [4 per cell]  4 Ca 3.33, 4 Sr 3.33

Summary:
For the energy relative to the elements, uncorrected, the calculation gives -0.28 eV per atom. As for the density of states at the Fermi level: 0.75 states/eV/atom.

[10]
A geometry-optimized Ca2TaSi2 structure, computed with PBE.

Cell: 6.9422 6.9422 4.5708 Å, 90.00 90.00 90.00°
Closest atoms and distances in Å follow each position.
Space group P4/mbm (No. 127)
One atom of each set of equivalent atoms:
Ca: 0.1750 0.3250 0.0000 [4 per cell]  6 Si 2.98-3.13
Ta: 0.0000 0.0000 0.5000 [2 per cell]  4 Si 2.72
Si: 0.1303 0.6303 0.5000 [4 per cell]  1 Si 2.56, 2 Ta 2.72

Summary:
For the energy relative to the elements, uncorrected, the calculation gives -0.13 eV per atom. As for the density of states at the Fermi level: 0.51 states/eV/atom.

[11]
A geometry-optimized Ca2TaSi structure, computed with PBE.

Cell: 3.2494 3.2494 30.7728 Å, 90.00 90.00 120.00°
Closest atoms and distances in Å follow each position.
Space group R-3m (No. 166, hexagonal axes)
One atom of each set of equivalent atoms:
Ca: 0.0000 0.0000 0.2448 [6 per cell]  3 Si 3.05, 6 Ca 3.25, 3 Ta 3.31
Ta: 0.0000 0.0000 0.0000 [3 per cell]  6 Ta 3.25, 6 Ca 3.31
Si: 0.0000 0.0000 0.5000 [3 per cell]  6 Ca 3.05, 6 Si 3.25

Summary:
For the energy relative to the elements, uncorrected, the calculation gives 0.47 eV per atom. As for the density of states at the Fermi level: 1.37 states/eV/atom.

[12]
A geometry-optimized CaTa3Si structure, computed with PBE.

Cell: 4.6994 4.6994 4.6994 Å, 90.00 90.00 90.00°
Closest atoms and distances in Å follow each position.
Space group Pm-3m (No. 221)
One atom of each set of equivalent atoms:
Ca: 0.0000 0.0000 0.0000 [1 per cell]  6 Ta 2.35
Ta: 0.0000 0.0000 0.5000 [3 per cell]  2 Ca 2.35
Si: 0.5000 0.5000 0.5000 [1 per cell]  12 Ta 3.32

Summary:
For the energy relative to the elements, uncorrected, the calculation gives 2.65 eV per atom. The calculation puts the relative energy among the computed polymorphs at 1.909 eV per atom. As for the density of states at the Fermi level: 0.89 states/eV/atom.